A geometry-optimized RbBa2Ge2 structure, computed with GGA-PBE.

* energy relative to the lowest polymorph listed for this composition: 292.7 meV/atom
* ΔE_f: -17 meV per atom
* total DFT energy (no corrections): -2.826 eV/atom
* DOS at the Fermi energy: 9.352 states/eV/cell
* ρ: 3691 kg/m3
* space-group type: I4/mmm, No. 139

Cell lengths 5.896, 5.896, 13.084 Å; angles 90.00, 90.00, 90.00 degrees
Element x y z (fractional)
Rb 0.000 0.000 0.000
Rb 0.500 0.500 0.500
Ba 0.000 0.000 0.347
Ba 0.000 0.000 0.653
Ba 0.500 0.500 0.153
Ba 0.500 0.500 0.847
Ge 0.000 0.500 0.250
Ge 0.000 0.500 0.750
Ge 0.500 0.000 0.250
Ge 0.500 0.000 0.750